The following is a PBE with a Hubbard U calculation of crystalline MnFePdF6 at its relaxed geometry, from the Alexandria database.

Summary:
uncorrected energy: -5.305 eV/atom
DOS at the Fermi energy: 12.2 states/eV/cell
theoretical density: 4.3 g cm⁻³
space-group type: P-31c

Cell: 5.5305 5.5305 9.7294 Å, 90.00 90.00 120.00°
Fractional positions:
Mn (0.3333, 0.6667, 0.2500)
Mn (0.6667, 0.3333, 0.7500)
Fe (0.3333, 0.6667, 0.7500)
Fe (0.6667, 0.3333, 0.2500)
Pd (0.0000, 0.0000, 0.0000)
Pd (0.0000, 0.0000, 0.5000)
F (0.0237, 0.3769, 0.6393)
F (0.0237, 0.6468, 0.8607)
F (0.3532, 0.3769, 0.8607)
F (0.3532, 0.9763, 0.6393)
F (0.3769, 0.0237, 0.1393)
F (0.3769, 0.3532, 0.3607)
F (0.6231, 0.6468, 0.6393)
F (0.6231, 0.9763, 0.8607)
F (0.6468, 0.0237, 0.3607)
F (0.6468, 0.6231, 0.1393)
F (0.9763, 0.3532, 0.1393)
F (0.9763, 0.6231, 0.3607)